# 1
A plane-wave DFT calculation with GGA-PBE was carried out for crystalline Ho3Mg5Cd2 at its relaxed geometry.

Lattice parameters (Å, degrees): 6.1962 9.7029 9.7029 89.25 71.38 71.38
Last column: nearest neighbours and their distance in Å.
Fractional positions:
Mg 0.9946 0.2554 0.2554  2 Cd 2.95, 5 Mg 3.00-3.10, 1 Ho 3.15
Mg 0.6194 0.2299 0.5312  1 Cd 2.71, 4 Mg 2.96-3.00
Mg 0.3806 0.7701 0.4688  1 Cd 2.71, 4 Mg 2.96-3.00
Mg 0.1194 0.5312 0.2299  1 Cd 2.71, 4 Mg 2.96-3.00
Mg 0.2500 0.5000 0.5000  8 Mg 2.96-3.10
Mg 0.8806 0.4688 0.7701  1 Cd 2.71, 4 Mg 2.96-3.00
Mg 0.5054 0.7446 0.7446  2 Cd 2.95, 5 Mg 3.00-3.10, 1 Ho 3.15
Mg 0.0054 0.7446 0.7446  2 Cd 2.95, 5 Mg 3.00-3.10, 1 Ho 3.15
Mg 0.4946 0.2554 0.2554  2 Cd 2.95, 5 Mg 3.00-3.10, 1 Ho 3.15
Mg 0.7500 0.5000 0.5000  8 Mg 2.96-3.10
Cd 0.6392 0.0124 0.7091  3 Mg 2.71-2.95
Cd 0.1392 0.7091 0.0124  3 Mg 2.71-2.95
Cd 0.8608 0.2909 0.9876  3 Mg 2.71-2.95
Cd 0.3608 0.9876 0.2909  3 Mg 2.71-2.95
Ho 0.8751 0.8851 0.3648  4 Cd 3.27-3.48, 4 Mg 3.37-3.44
Ho 0.3751 0.3648 0.8851  4 Cd 3.27-3.48, 4 Mg 3.37-3.44
Ho 0.2500 0.0000 0.0000  2 Ho 3.10, 4 Cd 3.10, 2 Mg 3.15
Ho 0.7500 0.0000 0.0000  2 Ho 3.10, 4 Cd 3.10, 2 Mg 3.15
Ho 0.1249 0.1149 0.6352  4 Cd 3.27-3.48, 4 Mg 3.37-3.44
Ho 0.6249 0.6352 0.1149  4 Cd 3.27-3.48, 4 Mg 3.37-3.44

Properties
SG: Ibam (72)

---

# 2
A plane-wave DFT calculation with GGA-PBE was carried out for crystalline HoMg2Cd3 at its relaxed geometry.

Lattice parameters (Å, degrees): 6.1423 6.9773 6.9773 76.58 90.00 90.00
Last column: nearest neighbours and their distance in Å.
Fractional positions:
Mg 0.0000 0.7710 0.7710  6 Cd 2.85-3.06, 2 Mg 3.07
Mg 0.5000 0.2290 0.2290  6 Cd 2.85-3.06, 2 Mg 3.07
Mg 0.5000 0.7710 0.7710  6 Cd 2.85-3.06, 2 Mg 3.07
Mg 0.0000 0.2290 0.2290  6 Cd 2.85-3.06, 2 Mg 3.07
Cd 0.7500 0.5834 0.1471  4 Mg 2.85-3.06, 2 Cd 2.95-2.96
Cd 0.7500 0.0151 0.9849  4 Mg 2.94, 4 Cd 2.96-3.08, 1 Ho 3.12
Cd 0.2500 0.4166 0.8529  4 Mg 2.85-3.06, 2 Cd 2.95-2.96
Cd 0.2500 0.1471 0.5834  4 Mg 2.85-3.06, 2 Cd 2.95-2.96
Cd 0.2500 0.9849 0.0151  4 Mg 2.94, 4 Cd 2.96-3.08, 1 Ho 3.12
Cd 0.7500 0.8529 0.4166  4 Mg 2.85-3.06, 2 Cd 2.95-2.96
Ho 0.7500 0.3758 0.6242  3 Cd 3.12-3.31
Ho 0.2500 0.6242 0.3758  3 Cd 3.12-3.31

Properties
SG: Cmcm (63)

---

# 3
A plane-wave DFT calculation with GGA-PBE was carried out for crystalline Ho2MgCd6 at its relaxed geometry.

Lattice parameters (Å, degrees): 6.5115 6.1771 6.1771 59.98 89.97 89.97
Last column: nearest neighbours and their distance in Å.
Fractional positions:
Cd 0.6741 0.1752 0.6497  1 Mg 2.83, 4 Cd 2.93-2.94
Cd 0.3259 0.3503 0.8248  1 Mg 2.83, 4 Cd 2.93-2.94
Cd 0.6739 0.1753 0.1753  1 Mg 2.83, 4 Cd 2.93-2.94
Cd 0.3261 0.8247 0.8247  1 Mg 2.83, 4 Cd 2.93-2.94
Cd 0.3259 0.8248 0.3503  1 Mg 2.83, 4 Cd 2.93-2.94
Cd 0.6741 0.6497 0.1752  1 Mg 2.83, 4 Cd 2.93-2.94
Ho 0.1284 0.3333 0.3333  9 Cd 3.35-3.41, 3 Mg 3.66
Ho 0.8716 0.6667 0.6667  9 Cd 3.35-3.41, 3 Mg 3.66
Mg 0.0000 0.0000 0.0000  6 Cd 2.83

Properties
SG: P-3m1 (164)

---

| no. | formation energy (eV/atom) |
| --- | --- |
| 1 | 0.006 |
| 2 | -0.102 |
| 3 | -0.188 |